[1]
Material: Nd2MgB2Rh5
Method: DFT, PBE
State: relaxed Values from VASP.

The structure in Quantum ESPRESSO input format:
```
&SYSTEM
  ibrav = 0, nat = 20, ntyp = 4
/
ATOMIC_SPECIES
Nd 144.24 Nd.upf
Mg 24.30 Mg.upf
B 10.81 B.upf
Rh 102.91 Rh.upf
CELL_PARAMETERS angstrom
9.808 0.000 0.000
0.000 9.808 0.000
0.000 0.000 3.236
ATOMIC_POSITIONS crystal
Nd 0.177 0.323 0.000
Nd 0.323 0.823 0.000
Nd 0.677 0.177 0.000
Nd 0.823 0.677 0.000
Mg 0.000 0.000 0.000
Mg 0.500 0.500 0.000
B 0.122 0.622 0.000
B 0.378 0.122 0.000
B 0.622 0.878 0.000
B 0.878 0.378 0.000
Rh 0.000 0.500 0.500
Rh 0.070 0.772 0.500
Rh 0.228 0.070 0.500
Rh 0.272 0.570 0.500
Rh 0.430 0.272 0.500
Rh 0.500 0.000 0.500
Rh 0.570 0.728 0.500
Rh 0.728 0.430 0.500
Rh 0.772 0.930 0.500
Rh 0.930 0.228 0.500
```

Computed properties:
As for the space-group type: No. 127. The value obtained for the formation energy from the elements is -0.6413 eV per atom. The density comes out at 9.06 Mg/m³.

---

[2]
Material: Nd3Mg2BRu3
Method: DFT, PBE
State: relaxed Values from VASP.

The structure in Quantum ESPRESSO input format:
```
&SYSTEM
  ibrav = 0, nat = 9, ntyp = 4
/
ATOMIC_SPECIES
Nd 144.24 Nd.upf
Mg 24.30 Mg.upf
B 10.81 B.upf
Ru 101.07 Ru.upf
CELL_PARAMETERS angstrom
7.785 0.000 0.000
-3.893 6.742 0.000
0.000 0.000 3.542
ATOMIC_POSITIONS crystal
Nd 0.000 0.660 0.000
Nd 0.340 0.340 0.000
Nd 0.660 0.000 0.000
Mg 0.333 0.667 0.500
Mg 0.667 0.333 0.500
B 0.000 0.000 0.000
Ru 0.000 0.210 0.500
Ru 0.210 0.000 0.500
Ru 0.790 0.790 0.500
```

Computed properties:
As for the space-group type: No. 189. The value obtained for the formation energy from the elements is -0.0009 eV per atom. The density comes out at 7.10 Mg/m³.

---

[3]
Material: MgNiB4
Method: DFT, PBE
State: relaxed Values from VASP.

The structure in Quantum ESPRESSO input format:
```
&SYSTEM
  ibrav = 0, nat = 12, ntyp = 3
/
ATOMIC_SPECIES
Mg 24.30 Mg.upf
Ni 58.69 Ni.upf
B 10.81 B.upf
CELL_PARAMETERS angstrom
3.583 -4.554 0.000
3.583 4.554 0.000
0.000 0.000 3.218
ATOMIC_POSITIONS crystal
Mg 0.197 0.803 0.000
Mg 0.803 0.197 0.000
Ni 0.320 0.320 0.000
Ni 0.680 0.680 0.000
B 0.119 0.434 0.500
B 0.123 0.123 0.500
B 0.405 0.595 0.500
B 0.434 0.119 0.500
B 0.566 0.881 0.500
B 0.595 0.405 0.500
B 0.877 0.877 0.500
B 0.881 0.566 0.500
```

Computed properties:
As for the space-group type: No. 65. The value obtained for the formation energy from the elements is -0.1404 eV per atom. The density comes out at 3.99 Mg/m³.

---

[4]
Material: MgNi3B
Method: DFT, PBE
State: relaxed Values from VASP.

The structure in Quantum ESPRESSO input format:
```
&SYSTEM
  ibrav = 0, nat = 10, ntyp = 3
/
ATOMIC_SPECIES
Mg 24.30 Mg.upf
Ni 58.69 Ni.upf
B 10.81 B.upf
CELL_PARAMETERS angstrom
5.358 0.000 0.000
-2.679 4.640 0.000
0.000 0.000 4.535
ATOMIC_POSITIONS crystal
Mg 0.333 0.667 0.250
Mg 0.667 0.333 0.750
Ni 0.174 0.347 0.750
Ni 0.174 0.826 0.750
Ni 0.347 0.174 0.250
Ni 0.653 0.826 0.750
Ni 0.826 0.174 0.250
Ni 0.826 0.653 0.250
B 0.000 0.000 0.000
B 0.000 0.000 0.500
```

Computed properties:
The value obtained for the energy above the most stable polymorph in this dataset is 36 meV per atom. As for the space-group type: No. 194. The value obtained for the formation energy from the elements is -0.2362 eV per atom. The density comes out at 6.22 Mg/m³.

---

[5]
Material: Mg6NiB
Method: DFT, PBE
State: relaxed Values from VASP.

The structure in Quantum ESPRESSO input format:
```
&SYSTEM
  ibrav = 0, nat = 8, ntyp = 3
/
ATOMIC_SPECIES
Mg 24.30 Mg.upf
Ni 58.69 Ni.upf
B 10.81 B.upf
CELL_PARAMETERS angstrom
3.286 0.000 0.000
0.000 4.598 5.021
0.000 -4.598 5.021
ATOMIC_POSITIONS crystal
Mg 0.000 0.000 0.000
Mg 0.000 0.554 0.888
Mg 0.000 0.888 0.554
Mg 0.500 0.240 0.699
Mg 0.500 0.257 0.257
Mg 0.500 0.699 0.240
Ni 0.000 0.498 0.498
B 0.500 0.600 0.600
```

Computed properties:
The value obtained for the energy above the most stable polymorph in this dataset is 0 meV per atom. As for the space-group type: No. 38. The value obtained for the formation energy from the elements is 0.0295 eV per atom. The density comes out at 2.36 Mg/m³.

---

[6]
Material: Mg14NiB
Method: DFT, PBE
State: relaxed Values from VASP.

The structure in Quantum ESPRESSO input format:
```
&SYSTEM
  ibrav = 0, nat = 16, ntyp = 3
/
ATOMIC_SPECIES
Mg 24.30 Mg.upf
Ni 58.69 Ni.upf
B 10.81 B.upf
CELL_PARAMETERS angstrom
6.186 0.000 0.000
-3.093 5.358 0.000
0.000 0.000 9.680
ATOMIC_POSITIONS crystal
Mg 0.000 0.000 0.250
Mg 0.000 0.000 0.750
Mg 0.018 0.509 0.249
Mg 0.018 0.509 0.751
Mg 0.331 0.166 0.000
Mg 0.334 0.167 0.500
Mg 0.491 0.509 0.249
Mg 0.491 0.509 0.751
Mg 0.491 0.982 0.249
Mg 0.491 0.982 0.751
Mg 0.833 0.167 0.500
Mg 0.833 0.666 0.500
Mg 0.834 0.166 0.000
Mg 0.834 0.669 0.000
Ni 0.333 0.667 0.500
B 0.333 0.667 0.000
```

Computed properties:
The value obtained for the energy above the most stable polymorph in this dataset is 50 meV per atom. As for the space-group type: No. 187. The value obtained for the formation energy from the elements is 0.1837 eV per atom. The density comes out at 2.12 Mg/m³.

---

[7]
Material: MgNi2B4
Method: DFT, PBE
State: relaxed Values from VASP.

The structure in Quantum ESPRESSO input format:
```
&SYSTEM
  ibrav = 0, nat = 7, ntyp = 3
/
ATOMIC_SPECIES
Mg 24.30 Mg.upf
Ni 58.69 Ni.upf
B 10.81 B.upf
CELL_PARAMETERS angstrom
-1.504 1.597 6.245
1.504 -1.597 6.245
1.504 1.597 -6.245
ATOMIC_POSITIONS crystal
Mg 0.000 0.000 0.000
Ni 0.190 0.690 0.500
Ni 0.810 0.310 0.500
B 0.355 0.855 0.500
B 0.426 0.426 0.000
B 0.574 0.574 0.000
B 0.645 0.145 0.500
```

Computed properties:
As for the space-group type: No. 71. The value obtained for the formation energy from the elements is -0.1576 eV per atom. The density comes out at 5.12 Mg/m³.

---

[8]
Material: MgNi3B
Method: DFT, PBE
State: relaxed Values from VASP.

The structure in Quantum ESPRESSO input format:
```
&SYSTEM
  ibrav = 0, nat = 10, ntyp = 3
/
ATOMIC_SPECIES
Mg 24.30 Mg.upf
Ni 58.69 Ni.upf
B 10.81 B.upf
CELL_PARAMETERS angstrom
4.509 -2.618 0.000
4.509 2.618 0.000
-3.045 0.000 4.852
ATOMIC_POSITIONS crystal
Mg 0.097 0.097 0.301
Mg 0.903 0.903 0.699
Ni 0.099 0.581 0.268
Ni 0.415 0.415 0.732
Ni 0.419 0.901 0.732
Ni 0.581 0.099 0.268
Ni 0.585 0.585 0.268
Ni 0.901 0.419 0.732
B 0.328 0.328 0.987
B 0.672 0.672 0.013
```

Computed properties:
The value obtained for the energy above the most stable polymorph in this dataset is 22 meV per atom. As for the space-group type: No. 12. The value obtained for the formation energy from the elements is -0.2501 eV per atom. The density comes out at 6.12 Mg/m³.